Entry 1:
{"formula": "PuTi6O12", "functional": "PBE", "state": "relaxed", "lattice": [[4.951, 2.858, 2.384], [-4.951, 2.858, 2.384], [0.000, -5.717, 2.384]], "species": ["Pu", "Ti", "Ti", "Ti", "Ti", "Ti", "Ti", "O", "O", "O", "O", "O", "O", "O", "O", "O", "O", "O", "O"], "fractional_positions": [[0.000, 0.000, 0.000], [0.240, 0.240, 0.622], [0.240, 0.622, 0.240], [0.378, 0.760, 0.760], [0.622, 0.240, 0.240], [0.760, 0.378, 0.760], [0.760, 0.760, 0.378], [0.123, 0.500, 0.877], [0.123, 0.877, 0.500], [0.178, 0.442, 0.442], [0.442, 0.178, 0.442], [0.442, 0.442, 0.178], [0.500, 0.123, 0.877], [0.500, 0.877, 0.123], [0.558, 0.558, 0.822], [0.558, 0.822, 0.558], [0.822, 0.558, 0.558], [0.877, 0.123, 0.500], [0.877, 0.500, 0.123]], "dos_at_fermi_per_ev_fu": 13.9, "e_tot_ev_per_atom": -8.91, "volume_a3_per_atom": 10.65}

---

Entry 2:
{"formula": "BaAgSn2S4", "functional": "PBE", "state": "relaxed", "lattice": [[2.115, -6.690, 0.000], [2.115, 6.690, 0.000], [0.000, 0.000, 14.318]], "species": ["Ba", "Ba", "Ag", "Ag", "Sn", "Sn", "Sn", "Sn", "S", "S", "S", "S", "S", "S", "S", "S"], "fractional_positions": [[0.119, 0.881, 0.750], [0.881, 0.119, 0.250], [0.151, 0.849, 0.250], [0.849, 0.151, 0.750], [0.372, 0.628, 0.554], [0.372, 0.628, 0.946], [0.628, 0.372, 0.054], [0.628, 0.372, 0.446], [0.000, 0.000, 0.000], [0.000, 0.000, 0.500], [0.270, 0.730, 0.109], [0.270, 0.730, 0.391], [0.446, 0.554, 0.750], [0.554, 0.446, 0.250], [0.730, 0.270, 0.609], [0.730, 0.270, 0.891]], "dos_at_fermi_per_ev_fu": 3.2, "e_tot_ev_per_atom": -4.39, "volume_a3_per_atom": 25.32}

---

Entry 3:
{"formula": "Ac2TbPm2Y", "functional": "PBE", "state": "relaxed", "lattice": [[7.352, 0.000, 0.000], [0.000, 5.904, 0.000], [0.000, 0.000, 10.175]], "species": ["Ac", "Ac", "Ac", "Ac", "Tb", "Tb", "Pm", "Pm", "Pm", "Pm", "Y", "Y"], "fractional_positions": [[0.000, 0.000, 0.000], [0.250, 0.500, 0.176], [0.500, 0.000, 0.000], [0.750, 0.500, 0.824], [0.250, 0.000, 0.662], [0.750, 0.000, 0.338], [0.250, 0.000, 0.346], [0.250, 0.500, 0.825], [0.750, 0.000, 0.654], [0.750, 0.500, 0.175], [0.000, 0.500, 0.500], [0.500, 0.500, 0.500]], "dos_at_fermi_per_ev_fu": 10.1, "volume_a3_per_atom": 36.80, "formation_enthalpy_0k_mev_per_atom": 82}

---

Entry 4:
{"formula": "BaLi4Cd2Ag", "functional": "PBE", "state": "relaxed", "lattice": [[2.375, 1.371, 9.625], [-2.375, 1.371, 9.625], [0.000, -2.743, 9.625]], "species": ["Ba", "Li", "Li", "Li", "Li", "Cd", "Cd", "Ag"], "fractional_positions": [[0.000, 0.000, 0.000], [0.136, 0.136, 0.136], [0.412, 0.412, 0.412], [0.588, 0.588, 0.588], [0.864, 0.864, 0.864], [0.234, 0.234, 0.234], [0.766, 0.766, 0.766], [0.500, 0.500, 0.500]], "dos_at_fermi_per_ev_fu": 3.9, "volume_a3_per_atom": 23.52, "formation_enthalpy_0k_mev_per_atom": -167}

---

Entry 5:
{"formula": "HfTaTiVGa", "functional": "PBE", "state": "relaxed", "lattice": [[5.087, -1.668, 0.000], [5.087, 1.668, 0.000], [-5.028, 0.000, 5.116]], "species": ["Hf", "Ta", "Ti", "V", "Ga"], "fractional_positions": [[0.000, 0.000, 0.000], [0.641, 0.641, 0.439], [0.824, 0.824, 0.236], [0.400, 0.400, 0.583], [0.185, 0.185, 0.809]], "dos_at_fermi_per_ev_fu": 5.7, "e_above_lowest_polymorph_mev_per_atom": 113.3, "volume_a3_per_atom": 17.37, "formation_enthalpy_0k_mev_per_atom": -77}

---

Entry 6:
{"formula": "Ir2PdRh2", "functional": "PBE", "state": "relaxed", "lattice": [[-1.811, 1.811, 6.148], [1.811, -1.811, 6.148], [1.811, 1.811, -6.148]], "species": ["Ir", "Ir", "Pd", "Rh", "Rh"], "fractional_positions": [[0.099, 0.099, 0.000], [0.901, 0.901, 0.000], [0.500, 0.500, 0.000], [0.250, 0.750, 0.500], [0.750, 0.250, 0.500]], "dos_at_fermi_per_ev_fu": 4.9, "e_above_lowest_polymorph_mev_per_atom": 162.3, "volume_a3_per_atom": 16.14, "formation_enthalpy_0k_mev_per_atom": 426}